1.
# LaPr5Cd (PBE, relaxed)
data_LaPr5Cd
_symmetry_space_group_name_H-M 'P 1'
_symmetry_Int_Tables_number 1
_symmetry_space_group_name_Hall 'P 1'
_cell_length_a 6.859
_cell_length_b 6.859
_cell_length_c 12.673
_cell_angle_alpha 104.98
_cell_angle_beta 104.98
_cell_angle_gamma 58.87
loop_
_atom_site_label
_atom_site_fract_x
_atom_site_fract_y
_atom_site_fract_z
La1 0.217 0.783 0.750
La2 0.783 0.217 0.250
Pr1 0.187 0.287 0.683
Pr2 0.262 0.738 0.250
Pr3 0.287 0.187 0.183
Pr4 0.295 0.379 0.961
Pr5 0.379 0.295 0.461
Pr6 0.621 0.705 0.539
Pr7 0.705 0.621 0.039
Pr8 0.713 0.813 0.817
Pr9 0.738 0.262 0.750
Pr10 0.813 0.713 0.317
Cd1 0.000 0.000 0.000
Cd2 0.000 0.000 0.500
# Energy relative to the elements ... 66.4 meV per atom
# Symmetry ... No. 15


2.
# HgCNCl2 (PBE, relaxed)
data_HgCNCl2
_symmetry_space_group_name_H-M 'P 1'
_symmetry_Int_Tables_number 1
_symmetry_space_group_name_Hall 'P 1'
_cell_length_a 5.450
_cell_length_b 5.450
_cell_length_c 3.922
_cell_angle_alpha 90.00
_cell_angle_beta 90.00
_cell_angle_gamma 90.00
loop_
_atom_site_label
_atom_site_fract_x
_atom_site_fract_y
_atom_site_fract_z
Hg1 0.000 0.000 0.000
C1 0.500 0.500 0.500
N1 0.000 0.000 0.500
Cl1 0.000 0.500 0.000
Cl2 0.500 0.000 0.000
# Uncorrected energy ... -1.907 eV per atom
# Symmetry ... No. 123


3.
# SrThGe2Pt5 (PBE, relaxed)
data_SrThGe2Pt5
_symmetry_space_group_name_H-M 'P 1'
_symmetry_Int_Tables_number 1
_symmetry_space_group_name_Hall 'P 1'
_cell_length_a 4.811
_cell_length_b 4.811
_cell_length_c 9.059
_cell_angle_alpha 90.00
_cell_angle_beta 90.00
_cell_angle_gamma 90.00
loop_
_atom_site_label
_atom_site_fract_x
_atom_site_fract_y
_atom_site_fract_z
Sr1 0.000 0.000 0.000
Th1 0.000 0.000 0.500
Ge1 0.500 0.500 0.268
Ge2 0.500 0.500 0.732
Pt1 0.000 0.500 0.304
Pt2 0.000 0.500 0.696
Pt3 0.500 0.000 0.304
Pt4 0.500 0.000 0.696
Pt5 0.500 0.500 0.000
# Energy relative to the elements ... -652.3 meV per atom
# Symmetry ... No. 123


4.
# PrHgH2 (PBE, relaxed)
data_PrHgH2
_symmetry_space_group_name_H-M 'P 1'
_symmetry_Int_Tables_number 1
_symmetry_space_group_name_Hall 'P 1'
_cell_length_a 5.602
_cell_length_b 5.602
_cell_length_c 5.602
_cell_angle_alpha 41.01
_cell_angle_beta 41.01
_cell_angle_gamma 41.01
loop_
_atom_site_label
_atom_site_fract_x
_atom_site_fract_y
_atom_site_fract_z
Pr1 0.000 0.000 0.000
Hg1 0.500 0.500 0.500
H1 0.300 0.300 0.300
H2 0.700 0.700 0.700
# Uncorrected energy ... -3.309 eV per atom
# Symmetry ... No. 166


Going through the records in order, we get D(E_F) values of 1.492 2.097 0.213 0.544 states/eV per atom.